Record 1
DFT (PBE-GGA) results for a relaxed Rb2CaHI6 crystal.

Structure (POSCAR):
```
Rb2CaHI6
1.0
-3.932 3.932 6.939
3.932 -3.932 6.939
3.932 3.932 -6.939
Rb Ca H I
2 1 1 6
direct
0.250 0.750 0.500 Rb
0.750 0.250 0.500 Rb
0.000 0.000 0.000 Ca
0.500 0.500 0.000 H
0.223 0.223 0.000 I
0.279 0.279 0.558 I
0.279 0.721 0.000 I
0.721 0.279 0.000 I
0.721 0.721 0.442 I
0.777 0.777 0.000 I
```

## Properties
- Symmetry: I4/mmm (139)
- Total energy: -24.6 eV for the cell shown



Record 2
DFT (PBE-GGA) results for a relaxed HfMoOs2 crystal.

Structure (POSCAR):
```
HfMoOs2
1.0
-3.613 3.613 2.725
3.613 -3.613 2.725
3.613 3.613 -2.725
Hf Mo Os
2 2 4
direct
0.000 0.000 0.000 Hf
0.750 0.250 0.500 Hf
0.250 0.750 0.500 Mo
0.500 0.500 0.000 Mo
0.154 0.625 0.029 Os
0.375 0.404 0.529 Os
0.596 0.125 0.971 Os
0.875 0.846 0.471 Os
```

## Properties
- Energy of formation: 0.505 eV per atom
- Symmetry: I-42d (122)